Entry 1:
Here is an optimized crystal structure of SrPtS from Alexandria via LeMat-Bulk. Energies are from PBE.

Results
Density of states at the Fermi level (states/eV per cell): 0.00
M_tot (μB per atom): 0.0000
Formation energy (no corrections) (eV/atom): -1.20

```
SrPtS
1.0
5.514 -1.890 0.000
5.514 1.890 0.000
-0.436 0.000 6.669
Sr Pt S
2 2 2
Cartesian
1.058 0.000 2.058
9.533 0.000 4.610
1.827 0.000 5.872
8.764 0.000 0.796
4.092 0.000 2.120
6.499 0.000 4.549
```


Entry 2:
Here is an optimized crystal structure of PuAg2Pt6 from Alexandria via LeMat-Bulk. Energies are from PBE.

Results
Density of states at the Fermi level (states/eV per cell): 8.35
M_tot (μB per atom): 0.3447
Energy of formation (eV per formula unit): 2.2

```
PuAg2Pt6
1.0
0.000 4.457 4.457
4.457 0.000 4.457
4.457 4.457 0.000
Pu Ag Pt
1 2 6
Cartesian
0.000 0.000 0.000
2.229 2.229 2.229
6.686 6.686 6.686
4.457 4.457 2.535
4.457 2.535 4.457
6.380 4.457 4.457
2.535 4.457 4.457
4.457 6.380 4.457
4.457 4.457 6.380
```


Entry 3:
Here is an optimized crystal structure of Tb2PmAu3 from Alexandria via LeMat-Bulk. Energies are from PBE.

Results
Density of states at the Fermi level (states/eV per cell): 2.57
M_tot (μB per atom): 0.0000
Energy of formation (eV per formula unit): -5.0

```
Tb2PmAu3
1.0
3.619 0.000 0.000
0.000 3.619 0.000
0.000 0.000 11.039
Tb Pm Au
2 1 3
Cartesian
0.000 0.000 1.815
0.000 0.000 9.224
0.000 0.000 5.519
1.810 1.810 0.000
1.810 1.810 3.574
1.810 1.810 7.465
```


Entry 4:
Here is an optimized crystal structure of CaAlGe2 from Alexandria via LeMat-Bulk. Energies are from PBE.

Results
Density of states at the Fermi level (states/eV per cell): 1.41
M_tot (μB per atom): 0.0000
Energy of formation (eV per formula unit): -0.9

```
CaAlGe2
1.0
4.464 0.000 0.000
0.000 4.464 0.000
0.000 0.000 4.072
Ca Al Ge
1 1 2
Cartesian
0.000 0.000 0.000
2.232 2.232 0.000
0.000 2.232 2.036
2.232 0.000 2.036
```


Entry 5:
Here is an optimized crystal structure of Co2B2Pd from Alexandria via LeMat-Bulk. Energies are from PBE.

Results
Density of states at the Fermi level (states/eV per cell): 3.45
M_tot (μB per atom): 0.0000
Energy of formation (eV per formula unit): 0.6
Excess energy over the best structure of this formula in the dataset (eV/atom): 0.206

```
Co2B2Pd
1.0
-1.800 1.800 3.853
1.800 -1.800 3.853
1.800 1.800 -3.853
Co B Pd
2 2 1
Cartesian
0.000 0.000 1.137
0.000 0.000 6.568
1.800 0.000 1.926
0.000 1.800 1.926
0.000 0.000 3.853
```


Entry 6:
Here is an optimized crystal structure of TaMoW2 from Alexandria via LeMat-Bulk. Energies are from PBE.

Results
Density of states at the Fermi level (states/eV per cell): 1.57
M_tot (μB per atom): 0.0000
Energy of formation (eV per formula unit): -0.3
Excess energy over the best structure of this formula in the dataset (eV/atom): 0.049

```
TaMoW2
1.0
0.000 3.208 3.208
3.208 0.000 3.208
3.208 3.208 0.000
Ta Mo W
1 1 2
Cartesian
0.000 0.000 0.000
3.208 3.208 3.208
1.604 1.604 1.604
4.812 4.812 4.812
```


Entry 7:
Here is an optimized crystal structure of Dy2HoPd from Alexandria via LeMat-Bulk. Energies are from PBE.

Results
Density of states at the Fermi level (states/eV per cell): 4.93
M_tot (μB per atom): 0.0000
Energy of formation (eV per formula unit): -0.5
Excess energy over the best structure of this formula in the dataset (eV/atom): 0.359

```
Dy2HoPd
1.0
0.000 3.716 3.716
3.716 0.000 3.716
3.716 3.716 0.000
Dy Ho Pd
2 1 1
Cartesian
1.858 1.858 1.858
5.575 5.575 5.575
0.000 0.000 0.000
3.716 3.716 3.716
```


Entry 8:
Here is an optimized crystal structure of Be2RhBr from Alexandria via LeMat-Bulk. Energies are from PBE.

Results
Density of states at the Fermi level (states/eV per cell): 0.50
M_tot (μB per atom): 0.0000
Excess energy over the best structure of this formula in the dataset (eV/atom): 0.052
Formation energy (no corrections) (eV/atom): -0.13

```
Be2RhBr
1.0
3.060 0.000 0.000
0.000 3.012 0.000
-0.011 0.000 6.168
Be Rh Br
2 1 1
Cartesian
0.000 0.000 1.112
3.048 0.000 5.056
1.530 1.506 0.000
-0.006 1.506 3.084
```


Entry 9:
Here is an optimized crystal structure of Pu2NiN from Alexandria via LeMat-Bulk. Energies are from PBE.

Results
Density of states at the Fermi level (states/eV per cell): 11.78
M_tot (μB per atom): 2.6622
Excess energy over the best structure of this formula in the dataset (eV/atom): 0.190
Formation energy (no corrections) (eV/atom): -0.28

```
Pu2NiN
1.0
3.095 0.000 0.000
0.000 3.095 0.000
0.000 0.000 6.732
Pu Ni N
2 1 1
Cartesian
0.000 0.000 1.427
0.000 0.000 5.305
1.547 1.547 3.366
1.547 1.547 0.000
```


Entry 10:
Here is an optimized crystal structure of Sr2TlBr5 from Alexandria via LeMat-Bulk. Energies are from PBE.

Results
Density of states at the Fermi level (states/eV per cell): 0.00
M_tot (μB per atom): 0.0026
Excess energy over the best structure of this formula in the dataset (eV/atom): 0.044
Formation energy (no corrections) (eV/atom): -1.77

```
Sr2TlBr5
1.0
-2.325 3.853 8.059
2.325 -3.853 8.059
2.325 3.853 -8.059
Sr Tl Br
2 1 5
Cartesian
0.000 0.000 2.990
0.000 0.000 13.128
0.000 3.853 0.000
0.000 0.000 0.000
2.325 2.043 -2.471
2.325 2.043 2.471
0.000 1.809 5.588
0.000 1.809 10.530
```


Entry 11:
Here is an optimized crystal structure of LaCdTe2N from Alexandria via LeMat-Bulk. Energies are from PBE.

Results
Density of states at the Fermi level (states/eV per cell): 2.64
M_tot (μB per atom): 0.3586
Excess energy over the best structure of this formula in the dataset (eV/atom): 0.000
Formation energy (no corrections) (eV/atom): 0.08

```
LaCdTe2N
1.0
5.749 0.000 0.000
0.000 5.749 0.000
0.000 0.000 4.266
La Cd Te N
1 1 2 1
Cartesian
0.000 0.000 0.000
2.874 2.874 2.133
0.000 2.874 2.133
2.874 0.000 2.133
2.874 2.874 0.000
```


Entry 12:
Here is an optimized crystal structure of Ru2PtBr from Alexandria via LeMat-Bulk. Energies are from PBE.

Results
Density of states at the Fermi level (states/eV per cell): 4.34
M_tot (μB per atom): 0.0000
Excess energy over the best structure of this formula in the dataset (eV/atom): 0.030
Formation energy (no corrections) (eV/atom): 0.47

```
Ru2PtBr
1.0
2.856 0.000 0.000
0.000 2.856 0.000
0.000 0.000 8.366
Ru Pt Br
2 1 1
Cartesian
0.000 0.000 0.000
1.428 1.428 1.641
1.428 1.428 6.459
0.000 0.000 3.575
```